First-principles (GGA-PBE) data for an optimized crystal structure of BRhSeBr2, as listed in Alexandria.

Lattice parameters (Å, degrees): 5.214 5.214 4.701 90.00 90.00 90.00
Space group P4/mmm (No. 123)
Asymmetric unit:
B  0.000  0.000  0.000 (multiplicity 1)
Rh  0.500  0.500  0.500 (multiplicity 1)
Se  0.500  0.500  0.000 (multiplicity 1)
Br  0.000  0.500  0.500 (multiplicity 2)

**E**: -3.201 eV per atom
**Density of states at the Fermi level**: 0.770 states/eV/atom
**Formation energy without anion corrections**: 0.9704 eV per atom